# 1
The following is a GGA-PBE calculation of an optimized crystal structure of RbNbNi2Mo, from the Alexandria database.

Unit cell a=4.403 b=4.403 c=4.910 alpha=90.00 beta=90.00 gamma=90.00
Element x y z (fractional)
Rb1 0.000 0.000 0.000
Nb1 0.500 0.500 0.500
Ni1 0.000 0.500 0.000
Ni2 0.500 0.000 0.000
Mo1 0.000 0.000 0.500

For the density of states at the Fermi level, the calculation gives 7.85 states/eV/cell. As for the formation energy: 2.598 eV per atom. As for the symmetry: P4/mmm.



# 2
The following is a GGA-PBE calculation of an optimized crystal structure of K2BaNbSe4, from the Alexandria database.

Unit cell a=7.872 b=7.872 c=9.934 alpha=90.00 beta=90.00 gamma=90.00
Element x y z (fractional)
K1 0.000 0.000 0.000
K2 0.000 0.500 0.250
K3 0.500 0.000 0.750
K4 0.500 0.500 0.500
Ba1 0.000 0.000 0.500
Ba2 0.500 0.500 0.000
Nb1 0.000 0.500 0.750
Nb2 0.500 0.000 0.250
Se1 0.202 0.297 0.643
Se2 0.203 0.702 0.857
Se3 0.297 0.798 0.357
Se4 0.298 0.203 0.143
Se5 0.702 0.797 0.143
Se6 0.703 0.202 0.357
Se7 0.797 0.298 0.857
Se8 0.798 0.703 0.643

The calculation puts the formation energy from raw total energies at -8.96 eV per formula unit. For the density of states at the Fermi level, the calculation gives 5.06 states/eV/cell. As for the symmetry: I-4.



# 3
The following is a GGA-PBE calculation of an optimized crystal structure of NaIr2Pt, from the Alexandria database.

Unit cell a=6.282 b=6.282 c=6.282 alpha=90.00 beta=90.00 gamma=90.00
Element x y z (fractional)
Na1 0.000 0.000 0.000
Na2 0.000 0.500 0.500
Na3 0.500 0.000 0.500
Na4 0.500 0.500 0.000
Ir1 0.250 0.250 0.250
Ir2 0.250 0.250 0.750
Ir3 0.250 0.750 0.250
Ir4 0.250 0.750 0.750
Ir5 0.750 0.250 0.250
Ir6 0.750 0.250 0.750
Ir7 0.750 0.750 0.250
Ir8 0.750 0.750 0.750
Pt1 0.000 0.000 0.500
Pt2 0.000 0.500 0.000
Pt3 0.500 0.000 0.000
Pt4 0.500 0.500 0.500

For the density of states at the Fermi level, the calculation gives 27.90 states/eV/cell. The polymorph energy (0 for the lowest one) is 0 meV per atom. As for the formation energy: 0.607 eV per atom. As for the symmetry: Fm-3m.



# 4
The following is a GGA-PBE calculation of an optimized crystal structure of TiHgH2, from the Alexandria database.

Unit cell a=4.355 b=4.355 c=10.134 alpha=90.00 beta=90.00 gamma=90.00
Element x y z (fractional)
Ti1 0.000 0.000 0.000
Ti2 0.000 0.500 0.250
Ti3 0.500 0.000 0.750
Ti4 0.500 0.500 0.500
Hg1 0.000 0.000 0.500
Hg2 0.000 0.500 0.750
Hg3 0.500 0.000 0.250
Hg4 0.500 0.500 0.000
H1 0.112 0.250 0.125
H2 0.250 0.612 0.375
H3 0.250 0.888 0.875
H4 0.388 0.250 0.625
H5 0.612 0.750 0.625
H6 0.750 0.112 0.875
H7 0.750 0.388 0.375
H8 0.888 0.750 0.125

For the density of states at the Fermi level, the calculation gives 8.13 states/eV/cell. The polymorph energy (0 for the lowest one) is 0 meV per atom. As for the symmetry: I-42d.



# 5
The following is a GGA-PBE calculation of an optimized crystal structure of LiMg2P, from the Alexandria database.

Unit cell a=3.943 b=3.943 c=9.078 alpha=90.00 beta=90.00 gamma=90.00
Element x y z (fractional)
Li1 0.000 0.000 0.000
Li2 0.500 0.500 0.500
Mg1 0.000 0.000 0.500
Mg2 0.000 0.500 0.750
Mg3 0.500 0.000 0.250
Mg4 0.500 0.500 0.000
P1 0.000 0.500 0.250
P2 0.500 0.000 0.750

For the density of states at the Fermi level, the calculation gives 3.13 states/eV/cell. As for the formation energy: -0.216 eV per atom. As for the symmetry: I-4m2.



# 6
The following is a GGA-PBE calculation of an optimized crystal structure of Pr5Cd2Si2, from the Alexandria database.

Unit cell a=9.278 b=9.278 c=7.870 alpha=90.00 beta=90.00 gamma=50.01
Element x y z (fractional)
Pr1 0.000 0.000 0.000
Pr2 0.063 0.687 0.683
Pr3 0.187 0.563 0.183
Pr4 0.313 0.937 0.683
Pr5 0.437 0.813 0.183
Pr6 0.500 0.500 0.500
Pr7 0.563 0.187 0.817
Pr8 0.687 0.063 0.317
Pr9 0.813 0.437 0.817
Pr10 0.937 0.313 0.317
Cd1 0.223 0.223 0.000
Cd2 0.277 0.277 0.500
Cd3 0.723 0.723 0.500
Cd4 0.777 0.777 0.000
Si1 0.110 0.890 0.388
Si2 0.390 0.610 0.888
Si3 0.610 0.390 0.112
Si4 0.890 0.110 0.612

The calculation puts the formation energy from raw total energies at -4.04 eV per formula unit. For the density of states at the Fermi level, the calculation gives 19.02 states/eV/cell. As for the symmetry: Cmce.



# 7
The following is a GGA-PBE calculation of an optimized crystal structure of ScTeAu2, from the Alexandria database.

Unit cell a=4.281 b=4.281 c=17.647 alpha=90.00 beta=90.00 gamma=120.00
Element x y z (fractional)
Sc1 0.000 0.000 0.000
Sc2 0.333 0.667 0.667
Sc3 0.667 0.333 0.333
Te1 0.000 0.000 0.500
Te2 0.333 0.667 0.167
Te3 0.667 0.333 0.833
Au1 0.000 0.000 0.256
Au2 0.000 0.000 0.744
Au3 0.333 0.667 0.411
Au4 0.333 0.667 0.922
Au5 0.667 0.333 0.078
Au6 0.667 0.333 0.589

The calculation puts the formation energy from raw total energies at -1.64 eV per formula unit. For the density of states at the Fermi level, the calculation gives 8.25 states/eV/cell. As for the symmetry: R-3m.



# 8
The following is a GGA-PBE calculation of an optimized crystal structure of YLu2Hf, from the Alexandria database.

Unit cell a=7.651 b=7.651 c=7.651 alpha=90.00 beta=90.00 gamma=90.00
Element x y z (fractional)
Y1 0.000 0.000 0.000
Y2 0.000 0.500 0.500
Y3 0.500 0.000 0.500
Y4 0.500 0.500 0.000
Lu1 0.250 0.250 0.250
Lu2 0.250 0.250 0.750
Lu3 0.250 0.750 0.250
Lu4 0.250 0.750 0.750
Lu5 0.750 0.250 0.250
Lu6 0.750 0.250 0.750
Lu7 0.750 0.750 0.250
Lu8 0.750 0.750 0.750
Hf1 0.000 0.000 0.500
Hf2 0.000 0.500 0.000
Hf3 0.500 0.000 0.000
Hf4 0.500 0.500 0.500

For the density of states at the Fermi level, the calculation gives 36.98 states/eV/cell. The polymorph energy (0 for the lowest one) is 127 meV per atom. As for the formation energy: 0.264 eV per atom. As for the symmetry: Fm-3m.



# 9
The following is a GGA-PBE calculation of an optimized crystal structure of ScFe2Pt, from the Alexandria database.

Unit cell a=2.897 b=2.897 c=24.987 alpha=90.00 beta=90.00 gamma=120.00
Element x y z (fractional)
Sc1 0.000 0.000 0.000
Sc2 0.333 0.667 0.667
Sc3 0.667 0.333 0.333
Fe1 0.000 0.000 0.248
Fe2 0.000 0.000 0.511
Fe3 0.333 0.667 0.177
Fe4 0.333 0.667 0.914
Fe5 0.667 0.333 0.581
Fe6 0.667 0.333 0.844
Pt1 0.000 0.000 0.758
Pt2 0.333 0.667 0.425
Pt3 0.667 0.333 0.091

For the density of states at the Fermi level, the calculation gives 12.35 states/eV/cell. As for the formation energy: -0.035 eV per atom. As for the symmetry: R3m.



# 10
The following is a GGA-PBE calculation of an optimized crystal structure of RbHfIn, from the Alexandria database.

Unit cell a=3.270 b=8.166 c=8.267 alpha=74.67 beta=78.64 gamma=79.13
Element x y z (fractional)
Rb1 0.079 0.109 0.208
Rb2 0.921 0.891 0.792
Hf1 0.291 0.353 0.556
Hf2 0.709 0.647 0.444
In1 0.390 0.567 0.158
In2 0.610 0.433 0.842

For the density of states at the Fermi level, the calculation gives 4.23 states/eV/cell. The polymorph energy (0 for the lowest one) is 306 meV per atom. As for the formation energy: 0.363 eV per atom. As for the symmetry: P-1.



# 11
The following is a GGA-PBE calculation of an optimized crystal structure of CdB4Pd12, from the Alexandria database.

Unit cell a=6.814 b=6.814 c=6.814 alpha=109.47 beta=109.47 gamma=109.47
Element x y z (fractional)
Cd1 0.000 0.000 0.000
B1 0.000 0.000 0.500
B2 0.000 0.500 0.000
B3 0.500 0.000 0.000
B4 0.500 0.500 0.500
Pd1 0.140 0.319 0.821
Pd2 0.179 0.498 0.319
Pd3 0.179 0.860 0.681
Pd4 0.319 0.179 0.498
Pd5 0.319 0.821 0.140
Pd6 0.498 0.319 0.179
Pd7 0.502 0.681 0.821
Pd8 0.681 0.179 0.860
Pd9 0.681 0.821 0.502
Pd10 0.821 0.140 0.319
Pd11 0.821 0.502 0.681
Pd12 0.860 0.681 0.179

For the density of states at the Fermi level, the calculation gives 4.41 states/eV/cell. As for the formation energy: -0.228 eV per atom. As for the symmetry: Im-3.



# 12
The following is a GGA-PBE calculation of an optimized crystal structure of ZrAlAg, from the Alexandria database.

Unit cell a=4.553 b=4.553 c=3.155 alpha=90.00 beta=90.00 gamma=120.00
Element x y z (fractional)
Zr1 0.000 0.000 0.000
Al1 0.333 0.667 0.500
Ag1 0.667 0.333 0.500

For the density of states at the Fermi level, the calculation gives 2.82 states/eV/cell. As for the formation energy: -0.290 eV per atom. As for the symmetry: P-6m2.